Model i:
# Er6Tl2Os, relaxed, DFT PBE
# Total magnetization (μB per atom): 0.00
data_Er6Tl2Os
_cell_length_a 8.4578
_cell_length_b 8.4578
_cell_length_c 3.9372
_cell_angle_alpha 90.00
_cell_angle_beta 90.00
_cell_angle_gamma 120.00
_symmetry_space_group_name_H-M 'P -6 2 m'
_symmetry_Int_Tables_number 189
_symmetry_space_group_name_Hall 'P -6 -2'
loop_
_atom_site_label
_atom_site_type_symbol
_atom_site_fract_x
_atom_site_fract_y
_atom_site_fract_z
_atom_site_occupancy
Er1 Er 0.0000 0.3832 0.0000 1
Er2 Er 0.0000 0.7583 0.5000 1
Tl1 Tl 0.3333 0.6667 0.5000 1
Os1 Os 0.0000 0.0000 0.0000 1

---

Model ii:
# Er6Tl2Os, relaxed, DFT PBE
# Total magnetization (μB per atom): 0.00
data_Er6Tl2Os
_cell_length_a 5.0349
_cell_length_b 7.2177
_cell_length_c 14.7757
_cell_angle_alpha 90.00
_cell_angle_beta 90.00
_cell_angle_gamma 90.00
_symmetry_space_group_name_H-M 'I m m m'
_symmetry_Int_Tables_number 71
_symmetry_space_group_name_Hall '-I 2 2'
loop_
_atom_site_label
_atom_site_type_symbol
_atom_site_fract_x
_atom_site_fract_y
_atom_site_fract_z
_atom_site_occupancy
Er1 Er 0.0000 0.2218 0.0000 1
Er2 Er 0.0000 0.2624 0.3459 1
Tl1 Tl 0.0000 0.5000 0.1658 1
Os1 Os 0.0000 0.5000 0.5000 1

---

In kJ/mol of atoms, relative to the most stable structure: model i 0.0; model ii 15.7.

---

Model i:
# ErTmOs, relaxed, DFT PBE
# Total magnetization (μB per atom): 0.00
data_ErTmOs
_cell_length_a 6.6875
_cell_length_b 6.6875
_cell_length_c 6.6875
_cell_angle_alpha 90.00
_cell_angle_beta 90.00
_cell_angle_gamma 90.00
_symmetry_space_group_name_H-M 'F -4 3 m'
_symmetry_Int_Tables_number 216
_symmetry_space_group_name_Hall 'F -4 2 3'
loop_
_atom_site_label
_atom_site_type_symbol
_atom_site_fract_x
_atom_site_fract_y
_atom_site_fract_z
_atom_site_occupancy
Er1 Er 0.0000 0.0000 0.0000 1
Tm1 Tm 0.0000 0.0000 0.5000 1
Os1 Os 0.2500 0.2500 0.7500 1

---

Model ii:
# ErTmOs, relaxed, DFT PBE
# Total magnetization (μB per atom): 0.00
data_ErTmOs
_cell_length_a 3.4498
_cell_length_b 15.7925
_cell_length_c 5.0725
_cell_angle_alpha 90.00
_cell_angle_beta 90.00
_cell_angle_gamma 90.00
_symmetry_space_group_name_H-M 'C m c m'
_symmetry_Int_Tables_number 63
_symmetry_space_group_name_Hall '-C 2c 2'
loop_
_atom_site_label
_atom_site_type_symbol
_atom_site_fract_x
_atom_site_fract_y
_atom_site_fract_z
_atom_site_occupancy
Er1 Er 0.0000 0.0716 0.2500 1
Tm1 Tm 0.0000 0.2099 0.7500 1
Os1 Os 0.0000 0.4259 0.2500 1

---

Model iii:
# ErTmOs, relaxed, DFT PBE
# Total magnetization (μB per atom): 0.00
data_ErTmOs
_cell_length_a 3.3668
_cell_length_b 3.3668
_cell_length_c 12.8585
_cell_angle_alpha 90.00
_cell_angle_beta 90.00
_cell_angle_gamma 90.00
_symmetry_space_group_name_H-M 'I 4 m m'
_symmetry_Int_Tables_number 107
_symmetry_space_group_name_Hall 'I 4 -2'
loop_
_atom_site_label
_atom_site_type_symbol
_atom_site_fract_x
_atom_site_fract_y
_atom_site_fract_z
_atom_site_occupancy
Er1 Er 0.0000 0.0000 0.0000 1
Tm1 Tm 0.0000 0.0000 0.7462 1
Os1 Os 0.0000 0.0000 0.3724 1

---

In kJ/mol of atoms, relative to the most stable structure: model i 2.9; model ii 11.1; model iii 0.0.